(1)
# CsK2Li, optimized geometry, DFT PBE
# **Crystal system**: tetragonal
# **Calculated formation energy**: 0.1072 eV per atom
# **Energy relative to the lowest polymorph listed for this composition**: 0 meV per atom
# **Density**: 1.34 g/cm³
data_CsK2Li
_cell_length_a 4.7278
_cell_length_b 4.7278
_cell_length_c 12.0857
_cell_angle_alpha 90.00
_cell_angle_beta 90.00
_cell_angle_gamma 90.00
_symmetry_space_group_name_H-M 'P 4/m m m'
_symmetry_Int_Tables_number 123
_symmetry_space_group_name_Hall '-P 4 2'
loop_
_atom_site_label
_atom_site_type_symbol
_atom_site_fract_x
_atom_site_fract_y
_atom_site_fract_z
_atom_site_occupancy
Cs1 Cs 0.0000 0.0000 0.0000 1
K1 K 0.5000 0.5000 0.3198 1
Li1 Li 0.0000 0.0000 0.5000 1

(2)
# NaGdPb, optimized geometry, DFT PBE
# **Crystal system**: trigonal
# **Calculated formation energy**: -0.1948 eV per atom
# **Energy relative to the lowest polymorph listed for this composition**: 10 meV per atom
# **Density**: 7.44 g/cm³
data_NaGdPb
_cell_length_a 5.2539
_cell_length_b 5.2539
_cell_length_c 3.6151
_cell_angle_alpha 90.00
_cell_angle_beta 90.00
_cell_angle_gamma 120.00
_symmetry_space_group_name_H-M 'P 3 m 1'
_symmetry_Int_Tables_number 156
loop_
_symmetry_equiv_pos_as_xyz
'x,y,z'
'-y,x-y,z'
'-x+y,-x,z'
'-y,-x,z'
'-x+y,y,z'
'x,x-y,z'
loop_
_atom_site_label
_atom_site_type_symbol
_atom_site_fract_x
_atom_site_fract_y
_atom_site_fract_z
_atom_site_occupancy
Na1 Na 0.0000 0.0000 0.0000 1
Gd1 Gd 0.6667 0.3333 0.5178 1
Pb1 Pb 0.3333 0.6667 0.0474 1

(3)
# LaMnCo2W, optimized geometry, DFT PBE
# **Crystal system**: tetragonal
# **Calculated formation energy**: 0.7208 eV per atom
# **Density**: 9.05 g/cm³
data_LaMnCo2W
_cell_length_a 4.5156
_cell_length_b 4.5156
_cell_length_c 4.4571
_cell_angle_alpha 90.00
_cell_angle_beta 90.00
_cell_angle_gamma 90.00
_symmetry_space_group_name_H-M 'P 4/m m m'
_symmetry_Int_Tables_number 123
_symmetry_space_group_name_Hall '-P 4 2'
loop_
_atom_site_label
_atom_site_type_symbol
_atom_site_fract_x
_atom_site_fract_y
_atom_site_fract_z
_atom_site_occupancy
La1 La 0.0000 0.0000 0.0000 1
Mn1 Mn 0.5000 0.5000 0.5000 1
Co1 Co 0.0000 0.5000 0.5000 1
W1 W 0.5000 0.5000 0.0000 1

(4)
# AcHo2Sb, optimized geometry, DFT PBE
# **Crystal system**: trigonal
# **Energy relative to the lowest polymorph listed for this composition**: 88 meV per atom
# **E_form (uncorrected)**: -35 kJ per mole of atoms
# **Density**: 7.98 g/cm³
data_AcHo2Sb
_cell_length_a 4.0724
_cell_length_b 4.0724
_cell_length_c 29.4789
_cell_angle_alpha 90.00
_cell_angle_beta 90.00
_cell_angle_gamma 120.00
_symmetry_space_group_name_H-M 'R 3 m'
_symmetry_Int_Tables_number 160
_symmetry_space_group_name_Hall 'R 3 -2"'
loop_
_atom_site_label
_atom_site_type_symbol
_atom_site_fract_x
_atom_site_fract_y
_atom_site_fract_z
_atom_site_occupancy
Ac1 Ac 0.0000 0.0000 0.0000 1
Ho1 Ho 0.0000 0.0000 0.2315 1
Ho2 Ho 0.0000 0.0000 0.4373 1
Sb1 Sb 0.0000 0.0000 0.8348 1

Question: Which value of density does entry 1 give?
Answer: 1.34 g/cm³

Question: What is the formula in the third record?
Answer: LaMnCo2W